(1)
Entry from Alexandria: a relaxed structure of Mg2TiHIr (PBE).

Output
DOS(E_F) ... 3.35 states/eV/cell
Symmetry ... P4/mmm (123)
M_tot ... 0.00 μB per formula unit
Energy ... -4.879 eV/atom

Lattice parameters (Å, degrees): 3.9726 3.9726 4.2917 90.00 90.00 90.00
Closest atoms and distances in Å follow each position.
Sites, in units of the cell vectors:
H 0.0000 0.0000 0.0000  4 Mg 1.99, 2 Ti 2.15
Mg 0.0000 0.5000 0.0000  2 H 1.99
Mg 0.5000 0.0000 0.0000  2 H 1.99
Ir 0.5000 0.5000 0.5000  4 Ti 2.81, 8 Mg 2.92
Ti 0.0000 0.0000 0.5000  2 H 2.15

***

(2)
Entry from Alexandria: a relaxed structure of MgTi2HIr (PBE).

Output
DOS(E_F) ... 4.47 states/eV/cell
Symmetry ... P4/mmm (123)
M_tot ... 0.00 μB per formula unit
Energy ... -6.261 eV/atom

Lattice parameters (Å, degrees): 3.9754 3.9754 4.1609 90.00 90.00 90.00
Closest atoms and distances in Å follow each position.
Sites, in units of the cell vectors:
H 0.0000 0.0000 0.0000  4 Ti 1.99, 2 Mg 2.08
Mg 0.0000 0.0000 0.5000  2 H 2.08
Ir 0.5000 0.5000 0.5000  4 Mg 2.81, 8 Ti 2.88
Ti 0.0000 0.5000 0.0000  2 H 1.99
Ti 0.5000 0.0000 0.0000  2 H 1.99

***

(3)
Entry from Alexandria: a relaxed structure of MgTlH6Ir (PBE).

Output
DOS(E_F) ... 0.00 states/eV/cell
Symmetry ... P312 (149)
M_tot ... 0.00 μB per formula unit
Energy ... -3.849 eV/atom

Lattice parameters (Å, degrees): 4.7532 4.7533 5.7464 90.00 90.00 59.99
Closest atoms and distances in Å follow each position.
Sites, in units of the cell vectors:
Mg 0.6666 0.6667 0.5003  6 H 2.06
Tl 0.9998 0.0000 0.0008  6 H 2.49-2.50
H 0.0630 0.3212 0.3176  1 Ir 1.68
H 0.3207 0.0635 0.6821  1 Ir 1.68
H 0.6158 0.3208 0.6821  1 Ir 1.68
H 0.0633 0.6159 0.6821  1 Ir 1.68
H 0.3212 0.6158 0.3176  1 Ir 1.68
H 0.6159 0.0629 0.3176  1 Ir 1.68
Ir 0.3333 0.3333 0.4998  6 H 1.68

***

(4)
Entry from Alexandria: a relaxed structure of TmMgH6Ir2 (PBE).

Output
DOS(E_F) ... 2.43 states/eV/cell
Symmetry ... R-3m (166)
M_tot ... 0.00 μB per formula unit
Energy ... -4.780 eV/atom

Lattice parameters (Å, degrees): 4.5505 4.5505 5.7586 66.73 66.73 60.00
Closest atoms and distances in Å follow each position.
Sites, in units of the cell vectors:
Tm 0.0000 0.0000 0.0000  12 H 2.44
Mg 0.5000 0.5000 0.5000  6 H 2.14
H 0.0554 0.5584 0.8275  1 Ir 1.65, 1 H 1.77
H 0.5587 0.0554 0.8275  1 Ir 1.65, 1 H 1.77
H 0.4416 0.4413 0.1725  1 Ir 1.65, 1 H 1.77
H 0.9446 0.4416 0.1725  1 Ir 1.65, 1 H 1.77
H 0.4413 0.9446 0.1725  1 Ir 1.65, 1 H 1.77
H 0.5584 0.5587 0.8275  1 Ir 1.65, 1 H 1.77
Ir 0.7897 0.7897 0.6310  3 H 1.65
Ir 0.2103 0.2103 0.3690  3 H 1.65

***

(5)
Entry from Alexandria: a relaxed structure of YMgH8Ir2 (PBE).

Output
DOS(E_F) ... 1.91 states/eV/cell
Symmetry ... R-3m (166)
M_tot ... 0.00 μB per formula unit
Energy ... -4.590 eV/atom

Lattice parameters (Å, degrees): 4.6977 4.6977 6.0594 67.19 67.19 60.00
Closest atoms and distances in Å follow each position.
Sites, in units of the cell vectors:
Y 0.5000 0.5000 0.5000  18 H 2.63-2.72
Mg 0.0000 0.0000 0.0000  6 H 1.95
H 0.1810 0.1810 0.4569  1 Ir 1.63, 3 H 1.77
H 0.6078 0.0556 0.2816  1 Ir 1.64, 1 H 1.77
H 0.8190 0.8190 0.5431  1 Ir 1.63, 3 H 1.77
H 0.0549 0.6078 0.2816  1 Ir 1.64, 1 H 1.77
H 0.9451 0.3922 0.7184  1 Ir 1.64, 1 H 1.77
H 0.0556 0.0549 0.2816  1 Ir 1.64, 1 H 1.77
H 0.9444 0.9451 0.7184  1 Ir 1.64, 1 H 1.77
H 0.3922 0.9444 0.7184  1 Ir 1.64, 1 H 1.77
Ir 0.2810 0.2810 0.1569  4 H 1.63-1.64
Ir 0.7190 0.7190 0.8431  4 H 1.63-1.64

***

(6)
Entry from Alexandria: a relaxed structure of Y2MgHIr (PBE).

Output
DOS(E_F) ... 4.66 states/eV/cell
Symmetry ... P4/mmm (123)
M_tot ... 0.00 μB per formula unit
Energy ... -5.781 eV/atom

Lattice parameters (Å, degrees): 5.0689 5.0689 3.6578 90.00 90.00 90.00
Closest atoms and distances in Å follow each position.
Sites, in units of the cell vectors:
Y 0.0000 0.5000 0.0000  2 H 2.53
Y 0.5000 0.0000 0.0000  2 H 2.53
H 0.0000 0.0000 0.0000  2 Ir 1.83
Mg 0.5000 0.5000 0.5000  8 Y 3.13
Ir 0.0000 0.0000 0.5000  2 H 1.83

***

(7)
Entry from Alexandria: a relaxed structure of Y2MgHIr (PBE).

Output
DOS(E_F) ... 1.70 states/eV/cell
Symmetry ... P4/mmm (123)
M_tot ... 0.00 μB per formula unit
Energy ... -5.764 eV/atom

Lattice parameters (Å, degrees): 4.7795 4.7795 3.9721 90.00 90.00 90.00
Closest atoms and distances in Å follow each position.
Sites, in units of the cell vectors:
Y 0.0000 0.5000 0.0000  2 H 2.39
Y 0.5000 0.0000 0.0000  2 H 2.39
H 0.0000 0.0000 0.0000  2 Mg 1.99
Mg 0.0000 0.0000 0.5000  2 H 1.99
Ir 0.5000 0.5000 0.5000  8 Y 3.11, 4 Mg 3.38

***

(8)
Entry from Alexandria: a relaxed structure of Mg2ZnHIr (PBE).

Output
DOS(E_F) ... 2.14 states/eV/cell
Symmetry ... P4/mmm (123)
M_tot ... 0.00 μB per formula unit
Energy ... -3.551 eV/atom

Lattice parameters (Å, degrees): 4.3738 4.3738 3.5724 90.00 90.00 90.00
Closest atoms and distances in Å follow each position.
Sites, in units of the cell vectors:
H 0.0000 0.0000 0.0000  2 Ir 1.79
Zn 0.5000 0.5000 0.5000  8 Mg 2.82, 4 Ir 3.09
Ir 0.0000 0.0000 0.5000  2 H 1.79
Mg 0.0000 0.5000 0.0000  2 H 2.19
Mg 0.5000 0.0000 0.0000  2 H 2.19